First-principles (GGA-PBE) data for a geometry-optimized Y2AlGa5 structure, as listed in Alexandria via LeMat-Bulk.

Unit cell a=6.0176 b=6.0176 c=6.0176 alpha=90.94 beta=119.46 gamma=119.46
Positions (direct):
Y 0.5000 0.2778 0.7778
Y 0.5000 0.7778 0.2778
Al 0.0000 0.7782 0.7782
Ga 0.4992 0.7774 0.7774
Ga 0.0000 0.7774 0.2782
Ga 0.0000 0.2782 0.7774
Ga 0.5008 0.2782 0.2782
Ga 0.0000 0.2771 0.2771

- Space-group type: I4mm, No. 107
- Calculated density: 5.9 g/cm³
- Total energy: -4.482 eV/atom